6
Lattice="-3.1798 2.1334 -2.1972 -3.9674 -1.8687 -0.5081 -4.7130 3.2774 5.5675" Properties=species:S:1:pos:R:3 comment="ZrPaRu (PBE-GGA, optimized geometry)" vol_a3_per_atom=21.3 delta_e_f_ev_per_atom=-0.224 polymorph_energy_ev_per_atom=0.074 m_tot_mub_per_atom=0.0000 pbc="T T T"
Zr -6.8801 3.0710 4.0681
Zr -4.9801 0.4711 -1.2059
Ru -7.6169 0.9075 -1.4014
Ru -4.2432 2.6346 4.2636
Pa -8.5665 2.2069 1.2344
Pa -3.2937 1.3353 1.6278